(1)
The following is a DFT calculation (PBE) of CsYSn3 after structural relaxation.

a b c (Å): 5.9123 5.9123 5.9123
angles (deg): 90.00 90.00 90.00
Last column: nearest neighbours and their distance in Å.
Fractional positions:
Cs1 0.0000 0.0000 0.0000  6 Sn 2.96
Y1 0.5000 0.5000 0.5000  12 Sn 4.18
Sn1 0.0000 0.5000 0.0000  2 Cs 2.96
Sn2 0.0000 0.0000 0.5000  2 Cs 2.96
Sn3 0.5000 0.0000 0.0000  2 Cs 2.96

Values from the calculation:
Fermi-level density of states: 5.62 states/eV/cell
DFT total energy: -2.641 eV per atom
ΔE_f: 1.2245 eV per atom

=====

(2)
The following is a DFT calculation (PBE) of CsYSn after structural relaxation.

a b c (Å): 9.7691 5.5041 8.7057
angles (deg): 90.00 90.00 90.00
Last column: nearest neighbours and their distance in Å.
Fractional positions:
Cs1 0.0071 0.2500 0.8569  2 Cs 3.71, 5 Sn 3.89-4.14, 4 Y 3.92-4.00
Cs2 0.4929 0.7500 0.3569  2 Cs 3.71, 5 Sn 3.89-4.14, 4 Y 3.92-4.00
Cs3 0.9929 0.7500 0.1431  2 Cs 3.71, 5 Sn 3.89-4.14, 4 Y 3.92-4.00
Cs4 0.5071 0.2500 0.6431  2 Cs 3.71, 5 Sn 3.89-4.14, 4 Y 3.92-4.00
Y1 0.8612 0.2500 0.4274  4 Sn 3.11-3.24
Y2 0.6388 0.7500 0.9274  4 Sn 3.11-3.24
Y3 0.1388 0.7500 0.5726  4 Sn 3.11-3.24
Y4 0.3612 0.2500 0.0726  4 Sn 3.11-3.24
Sn1 0.1768 0.2500 0.3817  4 Y 3.11-3.24
Sn2 0.3232 0.7500 0.8817  4 Y 3.11-3.24
Sn3 0.8232 0.7500 0.6183  4 Y 3.11-3.24
Sn4 0.6768 0.2500 0.1183  4 Y 3.11-3.24

Values from the calculation:
Fermi-level density of states: 0.00 states/eV/cell
DFT total energy: -4.031 eV per atom
ΔE_f: -0.2575 eV per atom